Computed, not measured: crystalline In2MoCl at its relaxed geometry at the PBE level of DFT.

Cell: 7.4453 7.4453 7.4453 Å, 157.11 144.93 42.29°
Site moments in Bohr magnetons follow the coordinates.
Fractional coordinates of all 4 atoms:
Mo: 0.7500 0.2500 0.5000  1.19
In: 0.9362 0.9362 0.0000  -0.01
Cl: 0.2500 0.7500 0.5000  0.02
In: 0.5638 0.5638 0.0000  -0.01

Properties
Fermi-level density of states in states/eV/cell: 2.9
Energy relative to the elements, uncorrected in meV/atom: 318.1
Offset from the most stable computed form in meV/atom: 237


Computed, not measured: crystalline LaInTc2 at its relaxed geometry at the PBE level of DFT.

Cell: 4.3871 4.3871 10.2213 Å, 77.61 77.61 90.00°
Fractional coordinates of all 8 atoms:
Tc: 0.7204 0.1250 0.2500
Tc: 0.0296 0.6250 0.2500
In: 0.2500 0.7500 0.5000
Tc: 0.8750 0.9704 0.7500
In: 0.5000 0.5000 0.0000
La: 0.7500 0.2500 0.5000
Tc: 0.3750 0.2796 0.7500
La: 0.0000 0.0000 0.0000

Properties
Fermi-level density of states in states/eV/cell: 9.0
ΔH_f (0 K) in eV/atom: 0.74


Computed, not measured: crystalline Ba2Mg5Sn3 at its relaxed geometry at the PBE level of DFT.

Cell: 4.9399 4.9399 12.8990 Å, 90.00 90.00 90.00°
Fractional coordinates of all 10 atoms:
Mg: 0.5000 0.0000 0.8616
Mg: 0.0000 0.5000 0.1384
Mg: 0.5000 0.5000 0.0000
Mg: 0.5000 0.5000 0.5000
Ba: 0.5000 0.0000 0.2609
Ba: 0.0000 0.5000 0.7391
Sn: 0.5000 0.0000 0.6351
Sn: 0.0000 0.0000 0.5000
Sn: 0.0000 0.5000 0.3649
Mg: 0.0000 0.0000 0.0000

Properties
Fermi-level density of states in states/eV/cell: 3.2
ΔH_f (0 K) in eV/atom: -0.24
Offset from the most stable computed form in meV/atom: 153


Computed, not measured: crystalline Sr2Ga2Au15 at its relaxed geometry at the PBE level of DFT.

Cell: 7.3791 7.3791 7.3791 Å, 83.09 83.09 83.09°
Fractional coordinates of all 19 atoms:
Au: 0.3190 0.0000 0.6810
Au: 0.6579 0.1620 0.6579
Au: 0.5000 0.0000 0.0000
Sr: 0.6587 0.6587 0.6587
Au: 0.8380 0.3421 0.3421
Au: 0.3421 0.3421 0.8380
Au: 0.6810 0.3190 0.0000
Au: 0.6579 0.6579 0.1620
Au: 0.6810 0.0000 0.3190
Au: 0.3190 0.6810 0.0000
Au: 0.0000 0.5000 0.0000
Au: 0.0000 0.0000 0.5000
Ga: 0.9089 0.9089 0.9089
Au: 0.0000 0.6810 0.3190
Au: 0.0000 0.3190 0.6810
Au: 0.1620 0.6579 0.6579
Ga: 0.0911 0.0911 0.0911
Sr: 0.3413 0.3413 0.3413
Au: 0.3421 0.8380 0.3421

Properties
Fermi-level density of states in states/eV/cell: 8.0
ΔH_f (0 K) in eV/atom: -0.29


Computed, not measured: crystalline Rb3HfSc2Te6 at its relaxed geometry at the PBE level of DFT.

Cell: 7.4267 7.4267 8.8976 Å, 97.99 97.99 120.00°
Fractional coordinates of all 12 atoms:
Sc: 0.3336 0.6664 0.0000
Te: 0.9363 0.6072 0.8087
Rb: 0.5000 0.5000 0.5000
Rb: 0.8318 0.1682 0.5000
Te: 0.2649 0.2649 0.8080
Te: 0.6072 0.9363 0.8087
Te: 0.0637 0.3928 0.1913
Hf: 0.0000 0.0000 0.0000
Rb: 0.1682 0.8318 0.5000
Te: 0.7351 0.7351 0.1920
Sc: 0.6664 0.3336 0.0000
Te: 0.3928 0.0637 0.1913

Properties
Fermi-level density of states in states/eV/cell: 5.1
Energy relative to the elements, uncorrected in meV/atom: -1107.7


Computed, not measured: crystalline AcGaPdAu at its relaxed geometry at the PBE level of DFT.

Cell: 4.3335 4.3335 10.0913 Å, 90.00 90.00 90.00°
Fractional coordinates of all 8 atoms:
Ga: 0.5000 0.0000 0.6302
Pd: 0.0000 0.0000 0.5000
Pd: 0.5000 0.5000 0.5000
Ga: 0.0000 0.5000 0.3698
Ac: 0.5000 0.0000 0.2251
Au: 0.5000 0.0000 0.9020
Ac: 0.0000 0.5000 0.7749
Au: 0.0000 0.5000 0.0980

Properties
Fermi-level density of states in states/eV/cell: 5.8
ΔH_f (0 K) in eV/atom: -0.75
Offset from the most stable computed form in meV/atom: 0